(1)
# ZnAsPd3

An optimized crystal structure of ZnAsPd3 (GGA-PBEsol, the Alexandria database).

Output
Calculated density in g/cm³: 8.12
DFT formation energy in meV per atom: 217

Unit cell a=4.547 b=4.547 c=4.547 alpha=90.00 beta=90.00 gamma=90.00
Fractional coordinates of all 5 atoms:
Zn (0.000, 0.000, 0.000)
As (0.500, 0.500, 0.500)
Pd (0.000, 0.500, 0.500)
Pd (0.500, 0.000, 0.500)
Pd (0.500, 0.500, 0.000)

***

(2)
# ZrAsPd3

An optimized crystal structure of ZrAsPd3 (GGA-PBEsol, the Alexandria database).

Output
Calculated density in g/cm³: 8.50
DFT formation energy in meV per atom: 3

Unit cell a=4.559 b=4.559 c=4.559 alpha=90.00 beta=90.00 gamma=90.00
Fractional coordinates of all 5 atoms:
Zr (0.000, 0.000, 0.000)
As (0.500, 0.500, 0.500)
Pd (0.000, 0.500, 0.500)
Pd (0.500, 0.000, 0.500)
Pd (0.500, 0.500, 0.000)

***

(3)
# PrAs2

An optimized crystal structure of PrAs2 (GGA-PBEsol, the Alexandria database).

Output
Calculated density in g/cm³: 6.84
DFT formation energy in meV per atom: -1012

Unit cell a=4.103 b=6.824 c=10.539 alpha=90.00 beta=106.85 gamma=90.00
Fractional coordinates of all 12 atoms:
Pr (0.089, 0.184, 0.361)
Pr (0.089, 0.316, 0.861)
Pr (0.911, 0.684, 0.139)
Pr (0.911, 0.816, 0.639)
As (0.269, 0.622, 0.450)
As (0.269, 0.878, 0.950)
As (0.459, 0.147, 0.672)
As (0.459, 0.353, 0.172)
As (0.541, 0.647, 0.828)
As (0.541, 0.853, 0.328)
As (0.731, 0.122, 0.050)
As (0.731, 0.378, 0.550)

***

(4)
# PrAs2Rh2

An optimized crystal structure of PrAs2Rh2 (GGA-PBEsol, the Alexandria database).

Output
Calculated density in g/cm³: 9.23
DFT formation energy in meV per atom: -960

Unit cell a=4.249 b=4.249 c=9.899 alpha=90.00 beta=90.00 gamma=90.00
Fractional coordinates of all 10 atoms:
Pr (0.250, 0.250, 0.245)
Pr (0.750, 0.750, 0.755)
As (0.250, 0.250, 0.636)
As (0.250, 0.750, 0.000)
As (0.750, 0.250, 0.000)
As (0.750, 0.750, 0.364)
Rh (0.250, 0.250, 0.880)
Rh (0.250, 0.750, 0.500)
Rh (0.750, 0.250, 0.500)
Rh (0.750, 0.750, 0.120)